[1]
Entry from Alexandria: a relaxed CsPuP2 crystal (GGA-PBE).

Cell and atoms, written as extended XYZ:
```
4
Lattice="-2.784 -1.987 2.438 0.922 -0.799 4.019 -3.778 6.097 4.274" Properties=species:S:1:pos:R:3 pbc="T T T"
Cs -2.820 1.655 5.366
Pu 0.000 0.000 0.000
P -4.521 3.130 8.244
P -1.119 0.180 2.487
```

ρ ... 5.969 g cm⁻³
ΔE_f ... -488 meV/atom
Symmetry ... R-3m
Volume ... 30.52 A^3/atom


[2]
Entry from Alexandria: a relaxed CsPuP crystal (GGA-PBE).

Cell and atoms, written as extended XYZ:
```
6
Lattice="4.913 -0.799 -0.629 0.962 4.884 -0.629 -1.736 -1.207 8.944" Properties=species:S:1:pos:R:3 pbc="T T T"
Cs 1.950 3.463 -0.629
Cs 3.925 0.622 -0.629
Pu 3.724 2.589 3.488
Pu 0.415 0.288 4.198
P 1.820 1.266 2.118
P 2.319 1.612 5.567
```

ρ ... 6.382 g cm⁻³
ΔE_f ... -67 meV/atom
Symmetry ... Fmmm
Volume ... 35.38 A^3/atom


[3]
Entry from Alexandria: a relaxed CsPuPS6 crystal (GGA-PBE).

Cell and atoms, written as extended XYZ:
```
9
Lattice="-2.301 4.381 -3.919 -1.907 -1.634 -5.792 -7.464 -1.375 2.845" Properties=species:S:1:pos:R:3 pbc="T T T"
P -5.135 0.228 -1.814
S -3.993 2.188 -1.679
S -3.243 -0.867 -1.190
S -5.828 0.540 0.328
S -6.225 -1.766 -1.830
S -7.045 1.229 -2.532
S -4.475 0.043 -3.981
Cs -9.765 3.005 -1.074
Pu -6.537 1.143 -5.051
```

ρ ... 3.563 g cm⁻³
Symmetry ... P312
Volume ... 31.08 A^3/atom
Formation energy without anion corrections ... -0.48 eV/atom


[4]
Entry from Alexandria: a relaxed CsPuP2S8 crystal (GGA-PBE).

Cell and atoms, written as extended XYZ:
```
12
Lattice="6.206 0.000 0.000 3.103 5.375 0.000 3.103 1.792 10.285" Properties=species:S:1:pos:R:3 pbc="T T T"
S 5.287 5.429 1.558
S 9.309 5.375 6.063
S 8.264 3.456 1.558
S 5.067 1.864 1.558
S 4.148 3.710 8.727
S 7.345 5.302 8.727
S 7.125 1.737 8.727
S 3.103 1.792 4.222
Cs 6.206 3.583 5.143
P 9.309 5.375 8.046
P 3.103 1.792 2.239
Pu 0.000 0.000 0.000
```

ρ ... 3.366 g cm⁻³
Symmetry ... R-3
Volume ... 28.59 A^3/atom
Formation energy without anion corrections ... -0.59 eV/atom


[5]
Entry from Alexandria: a relaxed CsRb2P crystal (GGA-PBE).

Cell and atoms, written as extended XYZ:
```
16
Lattice="-1.119 -8.239 -1.359 9.367 -2.128 5.188 -11.587 0.714 5.215" Properties=species:S:1:pos:R:3 pbc="T T T"
P 2.881 -8.990 6.349
P -6.220 -0.663 2.696
P -1.519 -5.841 4.098
P -1.820 -3.813 4.946
Rb -3.685 -6.193 6.609
Rb -2.075 -2.906 8.357
Rb 0.345 -3.460 2.435
Rb -8.591 -6.770 3.744
Rb 3.509 -7.153 3.390
Rb -6.848 -2.501 5.654
Rb 5.252 -2.884 5.300
Rb -1.264 -6.748 0.687
Cs -0.169 -9.124 4.530
Cs -3.170 -0.530 4.515
Cs 1.010 -5.301 6.497
Cs -4.349 -4.353 2.547
```

ρ ... 2.369 g cm⁻³
ΔE_f ... -145 meV/atom
Symmetry ... P2_1/c
Volume ... 58.67 A^3/atom


[6]
Entry from Alexandria: a relaxed Cs2Rb2P crystal (GGA-PBE).

Cell and atoms, written as extended XYZ:
```
10
Lattice="-7.546 4.803 -1.058 -3.904 -7.028 -4.063 -2.399 -2.361 6.388" Properties=species:S:1:pos:R:3 pbc="T T T"
Rb -5.847 -4.271 -3.774
Rb -8.916 -0.602 -3.570
Rb -2.534 -1.623 -1.551
Rb -5.603 2.046 -1.348
Cs -5.545 -5.159 0.092
Cs -8.303 0.574 1.175
Cs -9.637 -3.333 -0.770
Cs -4.211 -1.252 2.037
P 0.000 0.000 0.000
P -5.725 -1.112 -2.561
```

ρ ... 2.651 g cm⁻³
ΔE_f ... 81 meV/atom
Symmetry ... P4/mbm
Volume ... 58.58 A^3/atom